CsPuMnF6 | the Alexandria database | PBE with a Hubbard U | optimized geometry; calculated total energy = -6.866 eV per atom; magnetic moment = 10.00 μB/cell; SG = C2 (5)
1.0
-0.7331 3.0815 -5.2194
2.2160 -2.2742 -5.2164
-5.4062 -2.9844 -0.9963
Pu F Cs Mn
1 6 1 1
Direct
0.3333 0.3332 0.4999
0.3959 0.9832 0.6883
0.3928 0.6236 0.3131
0.6211 0.9837 0.3118
0.6232 0.3933 0.6870
0.9830 0.3949 0.3122
0.9839 0.6215 0.6878
0.9999 0.9999 0.9998
0.6668 0.6668 0.5000